[1]
VASP calculation (GGA-PBEsol) on a relaxed structure of Ba2Li2Ga.

Cell: 4.025 4.025 20.706 Å, 90.00 90.00 90.00°
Space group I4/mmm (No. 139)
Symmetry-distinct sites (fractional):
Ba 0.000 0.000 0.093 (multiplicity 4)
Li 0.000 0.500 0.250 (multiplicity 4)
Ga 0.000 0.000 0.500 (multiplicity 2)

Results
E_form	-0.0938	eV/atom

[2]
VASP calculation (GGA-PBEsol) on a relaxed structure of BaLi2Ga2.

Cell: 4.938 4.938 9.501 Å, 90.00 90.00 90.00°
Space group I4/mmm (No. 139)
Symmetry-distinct sites (fractional):
Ba 0.000 0.000 0.000 (multiplicity 2)
Li 0.000 0.500 0.250 (multiplicity 4)
Ga 0.000 0.000 0.372 (multiplicity 4)

Results
E_form	-0.2969	eV/atom

[3]
VASP calculation (GGA-PBEsol) on a relaxed structure of BaLi3Ga.

Cell: 5.051 5.051 5.051 Å, 90.00 90.00 90.00°
Space group Pm-3m (No. 221)
Symmetry-distinct sites (fractional):
Ba 0.000 0.000 0.000 (multiplicity 1)
Li 0.000 0.500 0.500 (multiplicity 3)
Ga 0.500 0.500 0.500 (multiplicity 1)

Results
E_form	-0.1123	eV/atom

[4]
VASP calculation (GGA-PBEsol) on a relaxed structure of Ba3LiGa.

Cell: 6.041 6.041 6.041 Å, 90.00 90.00 90.00°
Space group Pm-3m (No. 221)
Symmetry-distinct sites (fractional):
Ba 0.000 0.000 0.500 (multiplicity 3)
Li 0.000 0.000 0.000 (multiplicity 1)
Ga 0.500 0.500 0.500 (multiplicity 1)

Results
E_form	0.3795	eV/atom

[5]
VASP calculation (GGA-PBEsol) on a relaxed structure of Ba4LiGa5Se12.

Cell: 13.609 13.609 6.490 Å, 90.00 90.00 90.00°
Space group P-42_1c (No. 114)
Symmetry-distinct sites (fractional):
Ba 0.020 0.307 0.451 (multiplicity 8)
Li 0.000 0.000 0.500 (multiplicity 2)
Ga 0.000 0.000 0.000 (multiplicity 2)
Ga 0.143 0.755 0.949 (multiplicity 8)
Se 0.013 0.641 0.952 (multiplicity 8)
Se 0.096 0.903 0.763 (multiplicity 8)
Se 0.195 0.794 0.296 (multiplicity 8)

Results
raw formation energy	-26.528	eV per formula unit

[6]
VASP calculation (GGA-PBEsol) on a relaxed structure of BaMgGa3.

Cell: 5.804 5.804 5.804 Å, 90.00 90.00 90.00°
Space group Pm-3m (No. 221)
Symmetry-distinct sites (fractional):
Ba 0.000 0.000 0.000 (multiplicity 1)
Mg 0.500 0.500 0.500 (multiplicity 1)
Ga 0.000 0.000 0.500 (multiplicity 3)

Results
E_form	1.0212	eV/atom

[7]
VASP calculation (GGA-PBEsol) on a relaxed structure of BaMgGa3.

Cell: 4.514 4.514 11.349 Å, 90.00 90.00 90.00°
Space group I-4m2 (No. 119)
Symmetry-distinct sites (fractional):
Ba 0.000 0.000 0.000 (multiplicity 2)
Mg 0.000 0.500 0.250 (multiplicity 2)
Ga 0.000 0.000 0.386 (multiplicity 4)
Ga 0.000 0.500 0.750 (multiplicity 2)

Results
E_form	-0.4164	eV/atom

[8]
VASP calculation (GGA-PBEsol) on a relaxed structure of BaMgGaSe2.

Cell: 4.990 4.990 5.916 Å, 90.00 90.00 90.00°
Space group P4/mmm (No. 123)
Symmetry-distinct sites (fractional):
Ba 0.000 0.000 0.000 (multiplicity 1)
Mg 0.000 0.000 0.500 (multiplicity 1)
Ga 0.500 0.500 0.000 (multiplicity 1)
Se 0.000 0.500 0.500 (multiplicity 2)

Results
raw formation energy	-1.077	eV per formula unit